1.
## Pu2MnSe2O2 (PBE with a Hubbard U)

Data for a geometry-optimized Pu2MnSe2O2 structure.

Computed properties:
crystal system = monoclinic
V = 132 Å³ per cell
space group = C2/m, No. 12
magnetic moment = 5.000 μB/f.u.
E = -67.0 eV for the cell shown

a = 6.0789 Å, b = 6.0789 Å, c = 7.0115 Å
α = 119.78°, β = 119.78°, γ = 36.86°
Closest atoms and distances in Å follow each position.
Element x y z (fractional)
Pu: 0.1896 0.1896 0.2427  3 O 2.27-2.32
Pu: 0.8104 0.8104 0.7573  3 O 2.27-2.32
Mn: 0.0000 0.0000 0.5000  2 O 2.08
Se: 0.4355 0.4355 0.1699  2 Mn 2.79, 2 Pu 3.13
Se: 0.5645 0.5645 0.8301  2 Mn 2.79, 2 Pu 3.13
O: 0.2021 0.2021 0.5837  1 Mn 2.08, 3 Pu 2.27-2.32
O: 0.7979 0.7979 0.4163  1 Mn 2.08, 3 Pu 2.27-2.32

---

2.
## PuMn2SiO6 (PBE with a Hubbard U)

Data for a geometry-optimized PuMn2SiO6 structure.

Computed properties:
crystal system = trigonal
V = 115 Å³ per cell
space group = R3, No. 146
magnetic moment = 14.000 μB/f.u.
E = -86.9 eV for the cell shown

a = 5.6030 Å, b = 5.6030 Å, c = 5.6030 Å
α = 56.78°, β = 56.78°, γ = 56.78°
Closest atoms and distances in Å follow each position.
Element x y z (fractional)
Pu: 0.0000 0.0000 0.0000  6 O 2.19-2.29
Mn: 0.2750 0.2750 0.2750  3 O 2.15
Mn: 0.7825 0.7825 0.7825  3 O 2.10
Si: 0.4949 0.4949 0.4949  6 O 1.82-1.85
O: 0.1522 0.6950 0.3917  1 Si 1.85
O: 0.2577 0.6009 0.8320  1 Si 1.82
O: 0.3917 0.1522 0.6950  1 Si 1.85
O: 0.6009 0.8320 0.2577  1 Si 1.82
O: 0.6950 0.3917 0.1522  1 Si 1.85
O: 0.8320 0.2577 0.6009  1 Si 1.82

---

3.
## Sm2PuMnO8 (PBE with a Hubbard U)

Data for a geometry-optimized Sm2PuMnO8 structure.

Computed properties:
crystal system = triclinic
V = 173 Å³ per cell
space group = P-1, No. 2
magnetic moment = 4.984 μB/f.u.
E = -102.1 eV for the cell shown

a = 4.6896 Å, b = 5.1887 Å, c = 7.1790 Å
α = 84.63°, β = 88.61°, γ = 84.08°
Closest atoms and distances in Å follow each position.
Element x y z (fractional)
Sm: 0.0859 0.0111 0.2378  5 O 2.26-2.43
Sm: 0.9141 0.9889 0.7622  5 O 2.26-2.43
Pu: 0.5000 0.5000 0.5000  4 O 1.94-1.96
Mn: 0.5000 0.5000 0.0000  4 O 1.91-1.96
O: 0.1485 0.7351 0.5241  1 Pu 1.96
O: 0.2088 0.7860 0.9880  1 Mn 1.91
O: 0.3489 0.3635 0.2415  1 Mn 1.96
O: 0.3730 0.2253 0.6738  1 Pu 1.94
O: 0.6270 0.7747 0.3262  1 Pu 1.94
O: 0.6511 0.6365 0.7585  1 Mn 1.96
O: 0.7912 0.2140 0.0120  1 Mn 1.91
O: 0.8515 0.2649 0.4759  1 Pu 1.96

---

The lowest E belongs to which entry?
Sm2PuMnO8